(1)
! ZrWIN2, optimized geometry, DFT PBE; values from VASP
! Distance to the lowest polymorph of the same formula   0 meV/atom
! Total DFT energy (no corrections)   -0.534 Ry per atom
! Size of the total moment   0.00 Bohr magnetons per cell
! Symmetry   P4/mmm (123)
&SYSTEM
  ibrav = 0, nat = 5, ntyp = 4
/
ATOMIC_SPECIES
W 183.84 W.upf
N 14.01 N.upf
Zr 91.22 Zr.upf
I 126.90 I.upf
CELL_PARAMETERS angstrom
-1.533 2.764 -2.495
-0.857 -2.888 -2.673
-4.924 -0.661 2.293
ATOMIC_POSITIONS angstrom
W 0.000 0.000 0.000
N -0.766 1.382 -1.248
N -0.428 -1.444 -1.336
Zr -3.657 -0.392 -1.438
I -2.462 -0.330 1.146

(2)
! Nb4IrRu4, optimized geometry, DFT PBE; values from VASP
! Total DFT energy (no corrections)   -0.723 Ry per atom
! Size of the total moment   0.00 Bohr magnetons per cell
! Symmetry   I4/mmm (139)
! DFT formation energy   -225 kJ/mol of formula units
&SYSTEM
  ibrav = 0, nat = 9, ntyp = 3
/
ATOMIC_SPECIES
Ru 101.07 Ru.upf
Ir 192.22 Ir.upf
Nb 92.91 Nb.upf
CELL_PARAMETERS angstrom
3.600 0.000 1.646
1.800 6.023 0.823
-0.705 0.000 6.301
ATOMIC_POSITIONS angstrom
Ru 2.776 6.023 3.447
Ru 2.895 4.043 7.947
Ru 1.919 0.000 5.323
Ru 1.800 1.980 0.824
Ir 0.000 0.000 0.000
Nb 0.076 1.877 4.593
Nb 4.619 4.146 4.177
Nb 2.819 1.878 3.354
Nb 1.876 4.146 5.417

(3)
! BeSbIrBr2, optimized geometry, DFT PBE; values from VASP
! Total DFT energy (no corrections)   -0.242 Ry per atom
! Size of the total moment   0.00 Bohr magnetons per cell
! Symmetry   P4/mmm (123)
&SYSTEM
  ibrav = 0, nat = 5, ntyp = 4
/
ATOMIC_SPECIES
Br 79.90 Br.upf
Sb 121.76 Sb.upf
Ir 192.22 Ir.upf
Be 9.01 Be.upf
CELL_PARAMETERS angstrom
4.221 0.000 0.000
0.000 9.074 0.000
0.000 0.000 4.221
ATOMIC_POSITIONS angstrom
Br 0.000 0.000 2.111
Br 2.111 0.000 0.000
Sb 0.000 4.537 0.000
Ir 2.111 4.537 2.111
Be 0.000 0.000 0.000

(4)
! Li3Al, optimized geometry, DFT PBE; values from VASP
! Total DFT energy (no corrections)   -0.177 Ry per atom
! Size of the total moment   0.00 Bohr magnetons per cell
! Symmetry   Pm-3n (223)
! DFT formation energy   -15 kJ/mol of formula units
&SYSTEM
  ibrav = 0, nat = 8, ntyp = 2
/
ATOMIC_SPECIES
Li 6.94 Li.upf
Al 26.98 Al.upf
CELL_PARAMETERS angstrom
-1.029 4.092 -3.000
0.694 -2.919 -4.219
-5.026 -1.241 0.032
ATOMIC_POSITIONS angstrom
Li -0.425 1.609 -4.360
Li -1.771 1.736 -1.492
Li -4.284 1.115 -1.476
Li -1.993 -2.809 -3.148
Li -2.340 -1.350 -1.039
Li 0.089 -0.436 -2.860
Al 0.000 0.000 0.000
Al -2.681 -0.034 -3.593

Quick rundown of D(E_F), same order as above: 3.31 6.36 2.45 3.76 states/eV/cell